A plane-wave DFT calculation with PBE-GGA was carried out for an optimized crystal structure of Ba2AgAu.

a = 4.813 Å, b = 4.804 Å, c = 6.803 Å
α = 90.00°, β = 90.00°, γ = 90.00°
Sites, in units of the cell vectors:
Ba (0.000, 0.000, 0.875)
Ba (0.500, 0.500, 0.375)
Ag (0.000, 0.000, 0.375)
Au (0.500, 0.500, 0.875)

The density of states at the Fermi level is 2.81 states/eV/cell. Its crystal system is tetragonal. For the energy, the calculation gives -2.9188 eV/atom.

---

A plane-wave DFT calculation with PBE-GGA was carried out for an optimized crystal structure of Ba2AgAu.

a = 6.969 Å, b = 6.969 Å, c = 6.969 Å
α = 140.12°, β = 140.12°, γ = 57.68°
Sites, in units of the cell vectors:
Ba (0.250, 0.750, 0.500)
Ba (0.000, 0.000, 0.000)
Au (0.750, 0.250, 0.500)
Ag (0.500, 0.500, 0.000)

The density of states at the Fermi level is 3.81 states/eV/cell. Its crystal system is tetragonal. For the energy, the calculation gives -2.7817 eV/atom.

---

A plane-wave DFT calculation with PBE-GGA was carried out for an optimized crystal structure of BaAgAu.

a = 6.108 Å, b = 6.108 Å, c = 3.930 Å
α = 71.23°, β = 71.24°, γ = 37.53°
Sites, in units of the cell vectors:
Ag (0.970, 0.970, 0.030)
Ba (0.671, 0.671, 0.329)
Au (0.358, 0.358, 0.642)

The density of states at the Fermi level is 0.16 states/eV/cell. Its crystal system is tetragonal. For the energy, the calculation gives -3.0481 eV/atom.

---

A plane-wave DFT calculation with PBE-GGA was carried out for an optimized crystal structure of BaAg3Au.

a = 5.276 Å, b = 5.276 Å, c = 5.276 Å
α = 90.00°, β = 90.00°, γ = 90.00°
Sites, in units of the cell vectors:
Ba (0.500, 0.500, 0.500)
Au (0.000, 0.000, 0.000)
Ag (0.000, 0.000, 0.500)
Ag (0.000, 0.500, 0.000)
Ag (0.500, 0.000, 0.000)

The density of states at the Fermi level is 1.47 states/eV/cell. Its crystal system is cubic. For the energy, the calculation gives -2.7844 eV/atom.